Entry 1:
First-principles (GGA-PBE) data for crystalline ZnCu2SnTe3Se at its relaxed geometry, as listed in the Open Quantum Materials Database.

Its crystal system is monoclinic. The value obtained for the mass density is 5.77 g/cm3. The calculated total energy comes out at -3.46 eV/atom.

Unit cell a=8.5714 b=8.5756 c=7.4138 alpha=90.00 beta=125.26 gamma=90.00
Fractional coordinates of all 16 atoms:
Zn1 0.0000 0.0000 0.0000
Zn2 0.5000 0.5000 0.0000
Cu1 0.0220 0.2619 0.5198
Cu2 0.0220 0.7381 0.5198
Cu3 0.5220 0.2381 0.5198
Cu4 0.5220 0.7619 0.5198
Sn1 0.0245 0.5000 0.0017
Sn2 0.5245 0.0000 0.0017
Te1 0.1188 0.0000 0.7332
Te2 0.1534 0.2382 0.2843
Te3 0.1534 0.7618 0.2843
Te4 0.6188 0.5000 0.7332
Te5 0.6534 0.2618 0.2843
Te6 0.6534 0.7382 0.2843
Se1 0.1422 0.5000 0.7392
Se2 0.6422 0.0000 0.7392

Entry 2:
First-principles (GGA-PBE) data for crystalline SrYTe3Pd at its relaxed geometry, as listed in the Open Quantum Materials Database.

Its crystal system is orthorhombic. The value obtained for the mass density is 6.05 g/cm3. The calculated total energy comes out at -5.03 eV/atom.

Unit cell a=14.4739 b=4.3633 c=11.5814 alpha=90.00 beta=90.00 gamma=90.00
Fractional coordinates of all 24 atoms:
Sr1 0.2201 0.2500 0.0492
Sr2 0.2799 0.7500 0.5492
Sr3 0.7201 0.2500 0.4508
Sr4 0.7799 0.7500 0.9508
Y1 0.0203 0.2500 0.3277
Y2 0.4797 0.7500 0.8277
Y3 0.5203 0.2500 0.1723
Y4 0.9797 0.7500 0.6723
Te1 0.0998 0.7500 0.8883
Te2 0.1085 0.2500 0.5702
Te3 0.1575 0.7500 0.2576
Te4 0.3425 0.2500 0.7576
Te5 0.3915 0.7500 0.0702
Te6 0.4002 0.2500 0.3883
Te7 0.5998 0.7500 0.6117
Te8 0.6085 0.2500 0.9298
Te9 0.6575 0.7500 0.2424
Te10 0.8425 0.2500 0.7424
Te11 0.8915 0.7500 0.4298
Te12 0.9002 0.2500 0.1117
Pd1 0.0084 0.7500 0.0946
Pd2 0.4916 0.2500 0.5946
Pd3 0.5084 0.7500 0.4054
Pd4 0.9916 0.2500 0.9054

Entry 3:
First-principles (GGA-PBE) data for crystalline Sr2CoPd at its relaxed geometry, as listed in the Open Quantum Materials Database.

Its crystal system is cubic. The value obtained for the mass density is 6.27 g/cm3. The calculated total energy comes out at -3.55 eV/atom.

Unit cell a=7.1177 b=7.1177 c=7.1177 alpha=90.00 beta=90.00 gamma=90.00
Fractional coordinates of all 16 atoms:
Sr1 0.0000 0.0000 0.0000
Sr2 0.0000 0.5000 0.5000
Sr3 0.2500 0.2500 0.2500
Sr4 0.2500 0.7500 0.7500
Sr5 0.5000 0.0000 0.5000
Sr6 0.5000 0.5000 0.0000
Sr7 0.7500 0.2500 0.7500
Sr8 0.7500 0.7500 0.2500
Co1 0.2500 0.2500 0.7500
Co2 0.2500 0.7500 0.2500
Co3 0.7500 0.2500 0.2500
Co4 0.7500 0.7500 0.7500
Pd1 0.0000 0.0000 0.5000
Pd2 0.0000 0.5000 0.0000
Pd3 0.5000 0.0000 0.0000
Pd4 0.5000 0.5000 0.5000

Entry 4:
First-principles (GGA-PBE) data for crystalline Lu4CdPC2 at its relaxed geometry, as listed in the Open Quantum Materials Database.

Its crystal system is hexagonal. The value obtained for the mass density is 9.06 g/cm3. The calculated total energy comes out at -5.95 eV/atom.

Unit cell a=3.5763 b=3.5763 c=14.3442 alpha=90.00 beta=90.00 gamma=120.00
Fractional coordinates of all 8 atoms:
Lu1 0.0000 0.0000 0.1286
Lu2 0.0000 0.0000 0.8714
Lu3 0.3333 0.6667 0.3100
Lu4 0.3333 0.6667 0.6900
Cd1 0.0000 0.0000 0.5000
P1 0.3333 0.6667 0.0000
C1 0.6667 0.3333 0.2288
C2 0.6667 0.3333 0.7712

Entry 5:
First-principles (GGA-PBE) data for crystalline ZrNbGaCo at its relaxed geometry, as listed in the Open Quantum Materials Database.

Its crystal system is cubic. The value obtained for the mass density is 7.81 g/cm3. The calculated total energy comes out at -7.17 eV/atom.

Unit cell a=6.4323 b=6.4323 c=6.4323 alpha=90.00 beta=90.00 gamma=90.00
Fractional coordinates of all 16 atoms:
Zr1 0.0000 0.0000 0.0000
Zr2 0.0000 0.5000 0.5000
Zr3 0.5000 0.0000 0.5000
Zr4 0.5000 0.5000 0.0000
Nb1 0.2500 0.2500 0.2500
Nb2 0.2500 0.7500 0.7500
Nb3 0.7500 0.2500 0.7500
Nb4 0.7500 0.7500 0.2500
Ga1 0.0000 0.0000 0.5000
Ga2 0.0000 0.5000 0.0000
Ga3 0.5000 0.0000 0.0000
Ga4 0.5000 0.5000 0.5000
Co1 0.2500 0.2500 0.7500
Co2 0.2500 0.7500 0.2500
Co3 0.7500 0.2500 0.2500
Co4 0.7500 0.7500 0.7500

Entry 6:
First-principles (GGA-PBE) data for crystalline AlZnCoAg at its relaxed geometry, as listed in the Open Quantum Materials Database.

Its crystal system is cubic. The value obtained for the mass density is 7.62 g/cm3. The calculated total energy comes out at -3.68 eV/atom.

Unit cell a=6.0903 b=6.0903 c=6.0903 alpha=90.00 beta=90.00 gamma=90.00
Fractional coordinates of all 16 atoms:
Al1 0.0000 0.0000 0.0000
Al2 0.0000 0.5000 0.5000
Al3 0.5000 0.0000 0.5000
Al4 0.5000 0.5000 0.0000
Zn1 0.2500 0.2500 0.2500
Zn2 0.2500 0.7500 0.7500
Zn3 0.7500 0.2500 0.7500
Zn4 0.7500 0.7500 0.2500
Co1 0.2500 0.2500 0.7500
Co2 0.2500 0.7500 0.2500
Co3 0.7500 0.2500 0.2500
Co4 0.7500 0.7500 0.7500
Ag1 0.0000 0.0000 0.5000
Ag2 0.0000 0.5000 0.0000
Ag3 0.5000 0.0000 0.0000
Ag4 0.5000 0.5000 0.5000

Entry 7:
First-principles (GGA-PBE) data for crystalline SrHfAl2Cu4 at its relaxed geometry, as listed in the Open Quantum Materials Database.

Its crystal system is hexagonal. The value obtained for the mass density is 6.82 g/cm3. The calculated total energy comes out at -4.47 eV/atom.

Unit cell a=4.2846 b=4.2846 c=8.7991 alpha=90.00 beta=90.00 gamma=120.00
Fractional coordinates of all 8 atoms:
Sr1 0.0000 0.0000 0.0000
Hf1 0.6667 0.3333 0.5000
Al1 0.3333 0.6667 0.3047
Al2 0.3333 0.6667 0.6953
Cu1 0.0000 0.0000 0.3513
Cu2 0.0000 0.0000 0.6487
Cu3 0.6667 0.3333 0.2078
Cu4 0.6667 0.3333 0.7922

Entry 8:
First-principles (GGA-PBE) data for crystalline ScAlNi2 at its relaxed geometry, as listed in the Open Quantum Materials Database.

Its crystal system is tetragonal. The value obtained for the mass density is 5.63 g/cm3. The calculated total energy comes out at -5.86 eV/atom.

Unit cell a=3.0516 b=3.0516 c=5.9953 alpha=90.00 beta=90.00 gamma=90.00
Fractional coordinates of all 4 atoms:
Sc1 0.0000 0.0000 0.0000
Al1 0.0000 0.0000 0.5000
Ni1 0.5000 0.5000 0.2762
Ni2 0.5000 0.5000 0.7238